[1]
# Pr6S3O2F8, optimized geometry, DFT PBE
data_Pr6S3O2F8
_chemical_formula_sum 'Pr12 S6 O4 F16'
_cell_length_a 13.701
_cell_length_b 3.916
_cell_length_c 13.811
_cell_angle_alpha 90.00
_cell_angle_beta 119.70
_cell_angle_gamma 90.00
_symmetry_space_group_name_H-M 'P 1 m 1'
_symmetry_Int_Tables_number 6
loop_
_symmetry_equiv_pos_as_xyz
'x,y,z'
'x,-y,z'
loop_
_atom_site_label
_atom_site_fract_x
_atom_site_fract_y
_atom_site_fract_z
Pr1 0.000 0.000 0.000
Pr2 0.045 0.500 0.763
Pr3 0.138 0.500 0.520
Pr4 0.229 0.500 0.295
Pr5 0.338 0.000 0.827
Pr6 0.420 0.000 0.580
Pr7 0.518 0.000 0.344
Pr8 0.574 0.500 0.109
Pr9 0.671 0.000 0.917
Pr10 0.755 0.000 0.660
Pr11 0.806 0.500 0.454
Pr12 0.884 0.500 0.196
S1 0.008 0.000 0.584
S2 0.083 0.000 0.335
S3 0.469 0.500 0.774
S4 0.558 0.500 0.526
S5 0.754 0.000 0.245
S6 0.816 0.500 0.872
O1 0.298 0.500 0.491
O2 0.699 0.500 0.034
O3 0.714 0.000 0.468
O4 0.850 0.500 0.645
F1 0.029 0.500 0.127
F2 0.082 0.500 0.959
F3 0.176 0.000 0.851
F4 0.183 0.000 0.165
F5 0.214 0.500 0.732
F6 0.259 0.000 0.621
F7 0.351 0.000 0.376
F8 0.379 0.500 0.950
F9 0.388 0.500 0.261
F10 0.489 0.000 0.152
F11 0.529 0.000 0.982
F12 0.602 0.500 0.302
F13 0.616 0.000 0.723
F14 0.872 0.000 0.079
F15 0.943 0.500 0.389
F16 0.965 0.000 0.809
# - V: 321.79 Å³/f.u.
# - Formation energy from raw total energies: -3.4764 eV per atom
# - Magnetic moment: 0.0 Bohr magnetons per cell

***

[2]
# TiCuNi2, optimized geometry, DFT PBE
data_TiCuNi2
_chemical_formula_sum 'Ti2 Cu2 Ni4'
_cell_length_a 4.231
_cell_length_b 5.183
_cell_length_c 4.443
_cell_angle_alpha 90.00
_cell_angle_beta 90.00
_cell_angle_gamma 90.00
_symmetry_space_group_name_H-M 'P m m n'
_symmetry_Int_Tables_number 59
loop_
_symmetry_equiv_pos_as_xyz
'x,y,z'
'-x,-y,-z'
'-x+1/2,-y+1/2,z'
'x+1/2,y+1/2,-z'
'x+1/2,-y,-z'
'-x+1/2,y,z'
'-x,y+1/2,-z'
'x,-y+1/2,z'
loop_
_atom_site_label
_atom_site_fract_x
_atom_site_fract_y
_atom_site_fract_z
Ti1 0.250 0.250 0.168
Cu1 0.250 0.750 0.188
Ni1 0.250 0.001 0.672
# - V: 48.72 Å³/f.u.
# - E_form: -0.34 eV per atom
# - Magnetic moment: 0.0 Bohr magnetons per cell